# Sb2RuC2 PBE-GGA optimized geometry
# - Total magnetic moment: 0.000 Bohr magnetons per cell
# - DFT total energy: -26.9 eV per formula unit
# - DOS at the Fermi energy: 1.21 states/eV/f.u.
# - Excess energy over the best structure of this formula in the dataset: 165 meV/atom
data_Sb2RuC2
_chemical_formula_sum 'Sb4 Ru2 C4'
_symmetry_space_group_name_H-M 'P 4/m b m'
_symmetry_Int_Tables_number 127
_symmetry_space_group_name_Hall '-P 4 2ab'
_cell_length_a 6.9577
_cell_length_b 6.9577
_cell_length_c 3.3579
_cell_angle_alpha 90.00
_cell_angle_beta 90.00
_cell_angle_gamma 90.00
loop_
_atom_site_label
_atom_site_type_symbol
_atom_site_fract_x
_atom_site_fract_y
_atom_site_fract_z
Sb1 Sb 0.1481 0.3519 0.0000
Ru1 Ru 0.0000 0.0000 0.0000
C1 C 0.2098 0.7098 0.5000

# Sb3RuC PBE-GGA optimized geometry
# - Total magnetic moment: 0.000 Bohr magnetons per cell
# - DFT total energy: -24.9 eV per formula unit
# - DOS at the Fermi energy: 2.79 states/eV/f.u.
# - Excess energy over the best structure of this formula in the dataset: 0 meV/atom
data_Sb3RuC
_chemical_formula_sum 'Sb3 Ru1 C1'
_symmetry_space_group_name_H-M 'P m -3 m'
_symmetry_Int_Tables_number 221
_symmetry_space_group_name_Hall '-P 4 2 3'
_cell_length_a 4.5771
_cell_length_b 4.5771
_cell_length_c 4.5771
_cell_angle_alpha 90.00
_cell_angle_beta 90.00
_cell_angle_gamma 90.00
loop_
_atom_site_label
_atom_site_type_symbol
_atom_site_fract_x
_atom_site_fract_y
_atom_site_fract_z
Sb1 Sb 0.0000 0.0000 0.5000
Ru1 Ru 0.5000 0.5000 0.5000
C1 C 0.0000 0.0000 0.0000

# Sc2SbRuC PBE-GGA optimized geometry
# - Total magnetic moment: 0.000 Bohr magnetons per cell
# - DFT total energy: -37.9 eV per formula unit
# - DOS at the Fermi energy: 3.96 states/eV/f.u.
data_Sc2SbRuC
_chemical_formula_sum 'Sc2 Sb1 Ru1 C1'
_symmetry_space_group_name_H-M 'P 4/m m m'
_symmetry_Int_Tables_number 123
_symmetry_space_group_name_Hall '-P 4 2'
_cell_length_a 4.5907
_cell_length_b 4.5907
_cell_length_c 4.0214
_cell_angle_alpha 90.00
_cell_angle_beta 90.00
_cell_angle_gamma 90.00
loop_
_atom_site_label
_atom_site_type_symbol
_atom_site_fract_x
_atom_site_fract_y
_atom_site_fract_z
Sc1 Sc 0.0000 0.5000 0.0000
Sb1 Sb 0.0000 0.0000 0.5000
Ru1 Ru 0.5000 0.5000 0.5000
C1 C 0.5000 0.5000 0.0000

# TcSbRuC2 PBE-GGA optimized geometry
# - Total magnetic moment: 2.036 Bohr magnetons per cell
# - DFT total energy: -34.5 eV per formula unit
# - DOS at the Fermi energy: 3.57 states/eV/f.u.
data_TcSbRuC2
_chemical_formula_sum 'Tc1 Sb1 Ru1 C2'
_symmetry_space_group_name_H-M 'P 4/m m m'
_symmetry_Int_Tables_number 123
_symmetry_space_group_name_Hall '-P 4 2'
_cell_length_a 3.8623
_cell_length_b 3.8623
_cell_length_c 5.6512
_cell_angle_alpha 90.00
_cell_angle_beta 90.00
_cell_angle_gamma 90.00
loop_
_atom_site_label
_atom_site_type_symbol
_atom_site_fract_x
_atom_site_fract_y
_atom_site_fract_z
Tc1 Tc 0.0000 0.0000 0.0000
Sb1 Sb 0.5000 0.5000 0.0000
Ru1 Ru 0.0000 0.0000 0.5000
C1 C 0.0000 0.5000 0.5000

# Sb2TeRuC PBE-GGA optimized geometry
# - Total magnetic moment: 0.441 Bohr magnetons per cell
# - DFT total energy: -21.5 eV per formula unit
# - DOS at the Fermi energy: 4.06 states/eV/f.u.
# - Excess energy over the best structure of this formula in the dataset: 475 meV/atom
data_Sb2TeRuC
_chemical_formula_sum 'Sb2 Te1 Ru1 C1'
_symmetry_space_group_name_H-M 'P 4/m m m'
_symmetry_Int_Tables_number 123
_symmetry_space_group_name_Hall '-P 4 2'
_cell_length_a 5.0148
_cell_length_b 5.0148
_cell_length_c 5.4540
_cell_angle_alpha 90.00
_cell_angle_beta 90.00
_cell_angle_gamma 90.00
loop_
_atom_site_label
_atom_site_type_symbol
_atom_site_fract_x
_atom_site_fract_y
_atom_site_fract_z
Sb1 Sb 0.0000 0.5000 0.0000
Te1 Te 0.0000 0.0000 0.5000
Ru1 Ru 0.0000 0.0000 0.0000
C1 C 0.5000 0.5000 0.5000

# Sb2TeRuC PBE-GGA optimized geometry
# - Total magnetic moment: 0.000 Bohr magnetons per cell
# - DFT total energy: -23.8 eV per formula unit
# - DOS at the Fermi energy: 2.91 states/eV/f.u.
# - Excess energy over the best structure of this formula in the dataset: 0 meV/atom
data_Sb2TeRuC
_chemical_formula_sum 'Sb2 Te1 Ru1 C1'
_symmetry_space_group_name_H-M 'P 4/m m m'
_symmetry_Int_Tables_number 123
_symmetry_space_group_name_Hall '-P 4 2'
_cell_length_a 4.6069
_cell_length_b 4.6069
_cell_length_c 4.5822
_cell_angle_alpha 90.00
_cell_angle_beta 90.00
_cell_angle_gamma 90.00
loop_
_atom_site_label
_atom_site_type_symbol
_atom_site_fract_x
_atom_site_fract_y
_atom_site_fract_z
Sb1 Sb 0.0000 0.5000 0.0000
Te1 Te 0.0000 0.0000 0.5000
Ru1 Ru 0.5000 0.5000 0.5000
C1 C 0.0000 0.0000 0.0000